No. 1
Here is an optimized crystal structure of SrBe3Ge from Alexandria via LeMat-Bulk. Energies are from PBE.

Cell lengths 5.213, 5.213, 5.213 Å; angles 90.00, 90.00, 90.00 degrees
Fractional coordinates of all 5 atoms:
Sr 0.000 0.000 0.000
Ge 0.500 0.500 0.500
Be 0.000 0.500 0.000
Be 0.000 0.000 0.500
Be 0.500 0.000 0.000

Properties
Its crystal system is cubic. The magnetization comes out at 0.0000 μB/atom. Its space group is Pm-3m (221). The calculation puts the energy of formation at 2.24 eV/atom. For the energy relative to the lowest polymorph listed for this composition, the calculation gives 1578 meV/atom. The density of states at the Fermi level comes out at 6.06 states/eV/cell.

No. 2
Here is an optimized crystal structure of SrBeGe3 from Alexandria via LeMat-Bulk. Energies are from PBE.

Cell lengths 5.671, 5.671, 5.671 Å; angles 90.00, 90.00, 90.00 degrees
Fractional coordinates of all 5 atoms:
Sr 0.000 0.000 0.000
Ge 0.000 0.500 0.000
Ge 0.000 0.000 0.500
Ge 0.500 0.000 0.000
Be 0.500 0.500 0.500

Properties
Its crystal system is cubic. The magnetization comes out at 0.0000 μB/atom. Its space group is Pm-3m (221). The calculation puts the energy of formation at 1.71 eV/atom. For the energy relative to the lowest polymorph listed for this composition, the calculation gives 1664 meV/atom. The density of states at the Fermi level comes out at 7.77 states/eV/cell.

No. 3
Here is an optimized crystal structure of SrBe2Ge2 from Alexandria via LeMat-Bulk. Energies are from PBE.

Cell lengths 4.150, 4.150, 5.825 Å; angles 69.13, 69.13, 90.00 degrees
Fractional coordinates of all 5 atoms:
Sr 0.000 0.000 0.000
Ge 0.369 0.369 0.262
Ge 0.631 0.631 0.738
Be 0.750 0.250 0.500
Be 0.250 0.750 0.500

Properties
Its crystal system is tetragonal. The magnetization comes out at 0.0000 μB/atom. Its space group is I4/mmm (139). The calculation puts the energy of formation at -0.23 eV/atom. The density of states at the Fermi level comes out at 0.34 states/eV/cell.

No. 4
Here is an optimized crystal structure of Sr3BeGe from Alexandria via LeMat-Bulk. Energies are from PBE.

Cell lengths 6.044, 6.044, 6.044 Å; angles 90.00, 90.00, 90.00 degrees
Each line ends with the local moment (μB).
Fractional coordinates of all 5 atoms:
Sr 0.000 0.500 0.000  0.02
Sr 0.000 0.000 0.500  0.01
Sr 0.500 0.000 0.000  0.02
Ge 0.000 0.000 0.000  0.02
Be 0.500 0.500 0.500  0.06

Properties
Its crystal system is cubic. The magnetization comes out at 0.1446 μB/atom. Its space group is Pm-3m (221). The calculation puts the energy of formation at 0.32 eV/atom. For the energy relative to the lowest polymorph listed for this composition, the calculation gives 0 meV/atom. The density of states at the Fermi level comes out at 6.08 states/eV/cell.

No. 5
Here is an optimized crystal structure of SrBe3Ge from Alexandria via LeMat-Bulk. Energies are from PBE.

Cell lengths 4.499, 4.499, 4.499 Å; angles 90.00, 90.00, 90.00 degrees
Fractional coordinates of all 5 atoms:
Sr 0.500 0.500 0.500
Ge 0.000 0.000 0.000
Be 0.000 0.500 0.000
Be 0.000 0.000 0.500
Be 0.500 0.000 0.000

Properties
Its crystal system is cubic. The magnetization comes out at 0.0000 μB/atom. Its space group is Pm-3m (221). The calculation puts the energy of formation at 0.66 eV/atom. For the energy relative to the lowest polymorph listed for this composition, the calculation gives 0 meV/atom. The density of states at the Fermi level comes out at 5.29 states/eV/cell.

No. 6
Here is an optimized crystal structure of SrBeGe2 from Alexandria via LeMat-Bulk. Energies are from PBE.

Cell lengths 5.024, 5.024, 8.444 Å; angles 72.69, 72.69, 90.00 degrees
Fractional coordinates of all 8 atoms:
Sr 0.000 0.000 0.000
Sr 0.750 0.250 0.500
Ge 0.375 0.125 0.250
Ge 0.375 0.625 0.250
Ge 0.375 0.625 0.750
Ge 0.875 0.625 0.750
Be 0.500 0.500 0.000
Be 0.250 0.750 0.500

Properties
Its crystal system is tetragonal. The magnetization comes out at 0.0000 μB/atom. Its space group is I4_1/amd (141). The calculation puts the energy of formation at -0.13 eV/atom. The density of states at the Fermi level comes out at 2.61 states/eV/cell.

Among the records above, which one has the lowest energy of formation?
SrBe2Ge2

Number 4 is which compound?
Sr3BeGe

Among the records above, which one has the highest magnetization?
Sr3BeGe